# Mn2CdTe (PBE, optimized geometry)
# DFT total energy in eV per cell: -21.4
# Calculated density in g/cm3: 7.006
# Polymorph energy (0 for the lowest one) in meV/atom: 12
# N(E_F) in states/eV/cell: 3.0
data_Mn2CdTe
_chemical_formula_sum 'Mn2 Cd1 Te1'
_space_group_name_H-M_alt 'P 4 m m'
_space_group_IT_number 99
_cell_length_a 3.3242
_cell_length_b 3.3242
_cell_length_c 7.5044
_cell_angle_alpha 90.00
_cell_angle_beta 90.00
_cell_angle_gamma 90.00
loop_
_space_group_symop_operation_xyz
'x,y,z'
'-y,x,z'
'-x,-y,z'
'y,-x,z'
'-x,y,z'
'y,x,z'
'x,-y,z'
'-y,-x,z'
loop_
_atom_site_label
_atom_site_type_symbol
_atom_site_fract_x
_atom_site_fract_y
_atom_site_fract_z
Mn1 Mn 0.0000 0.0000 0.0000
Mn2 Mn 0.5000 0.5000 0.1913
Cd1 Cd 0.5000 0.5000 0.7875
Te1 Te 0.0000 0.0000 0.3698